Entry i
This record from Alexandria via LeMat-Bulk describes crystalline Ti3AlCu at its relaxed geometry. The functional is PBE-GGA.

Summary:
Magnetic moment   0.00 μB/f.u.
N(E_F)   15.26 states/eV per cell

Structure (CIF):
```
data_Ti3AlCu
_chemical_formula_sum 'Ti6 Al2 Cu2'
_symmetry_space_group_name_H-M 'P 63/m m c'
_symmetry_Int_Tables_number 194
_symmetry_space_group_name_Hall '-P 6c 2c'
_cell_length_a 6.4230
_cell_length_b 6.4230
_cell_length_c 4.8045
_cell_angle_alpha 90.00
_cell_angle_beta 90.00
_cell_angle_gamma 120.00
loop_
_atom_site_label
_atom_site_type_symbol
_atom_site_fract_x
_atom_site_fract_y
_atom_site_fract_z
Ti1 Ti 0.1950 0.3901 0.2500
Al1 Al 0.3333 0.6667 0.7500
Cu1 Cu 0.0000 0.0000 0.0000
```

Entry ii
This record from Alexandria via LeMat-Bulk describes crystalline Ti3AlCu at its relaxed geometry. The functional is PBE-GGA.

Summary:
Magnetic moment   0.00 μB/f.u.
N(E_F)   3.35 states/eV per cell

Structure (CIF):
```
data_Ti3AlCu
_chemical_formula_sum 'Ti3 Al1 Cu1'
_symmetry_space_group_name_H-M 'P m -3 m'
_symmetry_Int_Tables_number 221
_symmetry_space_group_name_Hall '-P 4 2 3'
_cell_length_a 4.575
_cell_length_b 4.575
_cell_length_c 4.575
_cell_angle_alpha 90.00
_cell_angle_beta 90.00
_cell_angle_gamma 90.00
loop_
_atom_site_label
_atom_site_type_symbol
_atom_site_fract_x
_atom_site_fract_y
_atom_site_fract_z
Ti1 Ti 0.000 0.000 0.500
Al1 Al 0.500 0.500 0.500
Cu1 Cu 0.000 0.000 0.000
```

Which structure is the least stable? The one labeled entry ii.

Entry i
This record from Alexandria via LeMat-Bulk describes crystalline TiAl2Cu2 at its relaxed geometry. The functional is PBE-GGA.

Summary:
Magnetic moment   0.00 μB/f.u.
N(E_F)   5.14 states/eV per cell

Structure (CIF):
```
data_TiAl2Cu2
_chemical_formula_sum 'Ti2 Al4 Cu4'
_symmetry_space_group_name_H-M 'I 4/m m m'
_symmetry_Int_Tables_number 139
_symmetry_space_group_name_Hall '-I 4 2'
_cell_length_a 3.621
_cell_length_b 3.621
_cell_length_c 11.463
_cell_angle_alpha 90.00
_cell_angle_beta 90.00
_cell_angle_gamma 90.00
loop_
_atom_site_label
_atom_site_type_symbol
_atom_site_fract_x
_atom_site_fract_y
_atom_site_fract_z
Ti1 Ti 0.000 0.000 0.000
Al1 Al 0.000 0.000 0.394
Cu1 Cu 0.000 0.500 0.250
```

Entry ii
This record from Alexandria via LeMat-Bulk describes crystalline TiAl2Cu2 at its relaxed geometry. The functional is PBE-GGA.

Summary:
Magnetic moment   0.00 μB/f.u.
N(E_F)   8.53 states/eV per cell

Structure (CIF):
```
data_TiAl2Cu2
_chemical_formula_sum 'Ti2 Al4 Cu4'
_symmetry_space_group_name_H-M 'P 4/m b m'
_symmetry_Int_Tables_number 127
_symmetry_space_group_name_Hall '-P 4 2ab'
_cell_length_a 7.291
_cell_length_b 7.291
_cell_length_c 2.685
_cell_angle_alpha 90.00
_cell_angle_beta 90.00
_cell_angle_gamma 90.00
loop_
_atom_site_label
_atom_site_type_symbol
_atom_site_fract_x
_atom_site_fract_y
_atom_site_fract_z
Ti1 Ti 0.000 0.000 0.000
Al1 Al 0.173 0.327 0.500
Cu1 Cu 0.124 0.624 0.000
```

Which structure is the least stable? The one labeled entry i.